Entry 1:
A plane-wave DFT calculation with GGA-PBE was carried out for crystalline TmAlTc at its relaxed geometry. Values from VASP.

```
&SYSTEM
  ibrav = 0, nat = 3, ntyp = 3
/
ATOMIC_SPECIES
Al 26.98 Al.upf
Tc 98.00 Tc.upf
Tm 168.93 Tm.upf
ATOMIC_POSITIONS angstrom
Al 0.000 0.000 0.000
Tc 1.576 1.576 1.576
Tm 4.727 4.727 4.727
CELL_PARAMETERS angstrom
0.000 3.152 3.152
3.152 0.000 3.152
3.152 3.152 0.000
```

As for the relative energy among the computed polymorphs: 0 meV per atom.

---

Entry 2:
A plane-wave DFT calculation with GGA-PBE was carried out for crystalline Na3Au2 at its relaxed geometry. Values from VASP.

```
&SYSTEM
  ibrav = 0, nat = 10, ntyp = 2
/
ATOMIC_SPECIES
Au 196.97 Au.upf
Na 22.99 Na.upf
ATOMIC_POSITIONS angstrom
Au -1.905 0.395 4.550
Au 0.745 -1.923 2.180
Au -1.110 -2.107 7.885
Au 1.540 -4.425 5.515
Na 0.000 0.000 0.000
Na -0.182 -2.015 5.032
Na 0.809 0.847 3.291
Na -0.468 0.755 7.143
Na 3.126 -2.412 3.981
Na 1.849 -2.505 7.832
CELL_PARAMETERS angstrom
-3.713 1.849 6.452
3.349 -5.879 3.613
3.022 2.372 1.059
```

As for the total energy: -2.366 eV/atom.

---

Entry 3:
A plane-wave DFT calculation with GGA-PBE was carried out for crystalline TcGeSb2 at its relaxed geometry. Values from VASP.

```
&SYSTEM
  ibrav = 0, nat = 4, ntyp = 3
/
ATOMIC_SPECIES
Ge 72.64 Ge.upf
Sb 121.76 Sb.upf
Tc 98.00 Tc.upf
ATOMIC_POSITIONS angstrom
Ge 1.712 1.712 1.712
Sb 3.425 3.425 3.425
Sb 5.137 5.137 5.137
Tc 0.000 0.000 0.000
CELL_PARAMETERS angstrom
0.000 3.425 3.425
3.425 0.000 3.425
3.425 3.425 0.000
```

As for the total energy: -5.245 eV/atom.

---

Entry 4:
A plane-wave DFT calculation with GGA-PBE was carried out for crystalline SmTlZnO3 at its relaxed geometry. Values from VASP.

```
&SYSTEM
  ibrav = 0, nat = 12, ntyp = 4
/
ATOMIC_SPECIES
O 16.00 O.upf
Sm 150.36 Sm.upf
Tl 204.38 Tl.upf
Zn 65.41 Zn.upf
ATOMIC_POSITIONS angstrom
O -6.454 1.735 -2.867
O -10.799 1.448 -3.934
O -8.120 -1.256 -1.565
O -6.175 -2.898 -0.036
O -3.497 -5.603 2.333
O -7.842 -5.889 1.266
Sm 0.000 0.000 0.000
Sm -2.121 -3.807 1.658
Tl -3.983 -0.898 -0.600
Tl -10.313 -3.257 -1.001
Zn -6.875 0.097 -2.014
Zn -7.421 -4.252 0.413
CELL_PARAMETERS angstrom
-5.459 2.632 -0.940
-4.595 0.828 -3.976
-4.242 -7.615 3.316
```

As for the total energy: -5.739 eV/atom.

---

Entry 5:
A plane-wave DFT calculation with GGA-PBE was carried out for crystalline K3HfIF6 at its relaxed geometry. Values from VASP.

```
&SYSTEM
  ibrav = 0, nat = 22, ntyp = 4
/
ATOMIC_SPECIES
F 19.00 F.upf
Hf 178.49 Hf.upf
I 126.90 I.upf
K 39.10 K.upf
ATOMIC_POSITIONS angstrom
F 2.667 1.411 0.000
F 6.745 2.667 0.000
F 1.411 5.489 0.000
F 5.489 6.745 0.000
F 5.039 0.961 1.476
F 0.961 3.116 1.476
F 7.194 5.039 1.476
F 3.116 7.194 1.476
F 5.039 0.961 4.646
F 0.961 3.116 4.646
F 7.194 5.039 4.646
F 3.116 7.194 4.646
Hf 4.078 0.000 0.000
Hf 0.000 4.078 0.000
I 0.000 0.000 3.061
I 4.078 4.078 3.061
K 0.000 0.000 0.000
K 4.078 4.078 0.000
K 2.781 1.297 3.061
K 6.859 2.781 3.061
K 1.297 5.375 3.061
K 5.375 6.859 3.061
CELL_PARAMETERS angstrom
8.156 0.000 0.000
0.000 8.156 0.000
0.000 0.000 6.122
```

As for the total energy: -5.336 eV/atom.

---

Entry 6:
A plane-wave DFT calculation with GGA-PBE was carried out for crystalline LuInTe3Pd at its relaxed geometry. Values from VASP.

```
&SYSTEM
  ibrav = 0, nat = 12, ntyp = 4
/
ATOMIC_SPECIES
In 114.82 In.upf
Lu 174.97 Lu.upf
Pd 106.42 Pd.upf
Te 127.60 Te.upf
ATOMIC_POSITIONS angstrom
In 2.893 0.935 3.877
In 1.406 8.945 0.076
Lu -0.997 0.598 1.651
Lu 2.150 4.940 1.977
Pd -4.122 6.488 -2.370
Pd 8.421 3.392 6.324
Te -4.131 3.919 -1.445
Te -0.348 3.501 0.991
Te -1.758 7.193 -1.199
Te 6.058 2.687 5.153
Te 4.647 6.379 2.963
Te 8.430 5.961 5.398
CELL_PARAMETERS angstrom
-5.917 4.493 -2.731
3.923 -3.296 6.033
6.293 8.684 0.652
```

As for the relative energy among the computed polymorphs: 0 meV per atom.